Computed, not measured: a geometry-optimized Sr2ZnSi structure at the PBE-GGA level of DFT.

Structure (POSCAR):
```
Sr2ZnSi
1.0
0.000 3.847 3.847
3.847 0.000 3.847
3.847 3.847 0.000
Si Sr Zn
1 2 1
Direct
0.000 0.000 0.000 Si
0.250 0.250 0.250 Sr
0.750 0.750 0.750 Sr
0.500 0.500 0.500 Zn
```

Values from the calculation:
For the polymorph energy (0 for the lowest one), the calculation gives 5.3 kJ per mole of atoms. Its space group is Fm-3m, No. 225. The theoretical density comes out at 3.9 Mg/m³.

***

Computed, not measured: a geometry-optimized Sr3Zn2Si4 structure at the PBE-GGA level of DFT.

Structure (POSCAR):
```
Sr3Zn2Si4
1.0
-0.189 -1.282 4.032
5.642 -1.302 -2.374
2.116 7.898 2.611
Si Sr Zn
4 3 2
Direct
0.942 0.885 0.609 Si
0.719 0.438 0.054 Si
0.058 0.115 0.391 Si
0.281 0.562 0.946 Si
0.337 0.674 0.330 Sr
0.000 0.000 0.000 Sr
0.663 0.326 0.670 Sr
0.613 0.225 0.283 Zn
0.387 0.775 0.717 Zn
```

Values from the calculation:
Its space group is C2/m, No. 12. The theoretical density comes out at 3.9 Mg/m³.

***

Computed, not measured: a geometry-optimized SrZnSi structure at the PBE-GGA level of DFT.

Structure (POSCAR):
```
SrZnSi
1.0
6.099 -0.005 0.005
5.069 3.391 0.030
1.029 0.288 3.383
Si Sr Zn
1 1 1
Direct
0.036 0.036 0.964 Si
0.335 0.335 0.665 Sr
0.629 0.629 0.371 Zn
```

Values from the calculation:
Its space group is I4mm, No. 107. The theoretical density comes out at 4.3 Mg/m³.

***

The following E_form (uncorrected) values (in eV/atom) correspond, in order, to the records above: -0.28, -0.44, -0.01.
The following volume values (in Å³/f.u.) correspond, in order, to the records above: 114, 213, 70.